(1)
Below is a geometry-optimized Tb2CoCu structure, with properties calculated at the GGA-PBE level.

Total moment   0.0 μB per formula unit
DFT total energy   -4.76 eV/atom

abc: 8.945 8.945 8.945
angles: 24.15 24.15 24.15
Sites, in units of the cell vectors:
Tb 0.109 0.109 0.109
Tb 0.891 0.891 0.891
Co 0.500 0.500 0.500
Cu 0.000 0.000 0.000


(2)
Below is a geometry-optimized CsZrI3 structure, with properties calculated at the GGA-PBE level.

Relative energy among the computed polymorphs   817 meV per atom
Total moment   0.7 μB per formula unit
Uncorrected formation energy   -220 meV per atom

abc: 14.185 14.185 14.185
angles: 153.43 153.43 37.93
Sites, in units of the cell vectors:
Cs 0.000 0.000 0.000
Cs 0.750 0.250 0.500
Zr 0.205 0.705 0.500
Zr 0.295 0.795 0.500
I 0.301 0.301 0.000
I 0.374 0.125 0.248
I 0.699 0.699 0.000
I 0.875 0.123 0.248
I 0.875 0.626 0.752
I 0.877 0.125 0.752


What is the formula in the first record?
Tb2CoCu